# 1
First-principles (GGA-PBE) data for a relaxed structure of BaTlP2O6, as listed in Alexandria.

Formation energy (no corrections) (eV per atom): -1.961
Calculated volume (Å³/atom): 17.87
Space group: R-3 (148)
E (eV for the cell shown): -64.5
Total magnetic moment (Bohr magnetons per cell): 1.01

```
BaTlP2O6
1.0
3.334 1.925 4.641
-3.334 1.925 4.641
0.000 -3.850 4.641
Ba Tl P O
1 1 2 6
Cartesian
0.000 0.000 0.000 Ba
0.000 0.000 6.961 Tl
0.000 0.000 3.884 P
0.000 0.000 10.038 P
-0.562 -1.384 3.618 O
-0.917 1.179 3.618 O
1.479 0.205 3.618 O
-1.479 -0.205 10.304 O
0.917 -1.179 10.304 O
0.562 1.384 10.304 O
```



# 2
First-principles (GGA-PBE) data for a relaxed structure of BaTl2PO4, as listed in Alexandria.

Formation energy (no corrections) (eV per atom): -1.943
Calculated volume (Å³/atom): 21.81
Space group: Pmn2_1 (31)
E (eV for the cell shown): -94.9
Total magnetic moment (Bohr magnetons per cell): 0.00

```
BaTl2PO4
1.0
6.889 0.000 0.000
0.000 9.828 0.000
0.000 0.000 5.155
Ba Tl P O
2 4 2 8
Cartesian
0.000 0.833 0.000 Ba
3.444 8.995 2.578 Ba
1.665 6.062 5.014 Tl
1.780 3.766 2.436 Tl
5.109 3.766 2.436 Tl
5.224 6.062 5.014 Tl
0.000 8.139 2.282 P
3.444 1.689 4.859 P
0.000 8.069 0.714 O
0.000 9.672 2.643 O
1.293 7.467 2.826 O
2.152 2.361 0.248 O
3.444 0.156 0.066 O
3.444 1.759 3.292 O
4.737 2.361 0.248 O
5.596 7.467 2.826 O
```



# 3
First-principles (GGA-PBE) data for a relaxed structure of BaTlP2O8, as listed in Alexandria.

Formation energy (no corrections) (eV per atom): -1.984
Calculated volume (Å³/atom): 15.30
Space group: P-3 (147)
E (eV for the cell shown): -78.6
Total magnetic moment (Bohr magnetons per cell): 1.10

```
BaTlP2O8
1.0
5.145 0.000 0.000
-2.572 4.455 0.000
0.000 0.000 8.009
Ba Tl P O
1 1 2 8
Cartesian
0.000 0.000 0.000 Ba
0.000 0.000 4.004 Tl
0.000 2.970 5.944 P
2.572 1.485 2.065 P
-0.552 1.591 5.497 O
-0.919 4.138 5.497 O
0.000 2.970 7.497 O
1.102 1.274 2.512 O
1.471 3.182 5.497 O
2.572 1.485 0.512 O
3.491 0.317 2.512 O
3.124 2.864 2.512 O
```